Record 1
Pr3Nd2Y6Th | Alexandria via LeMat-Bulk | PBE-GGA | relaxed; formation enthalpy at 0 K = 0.02 eV per atom; D(E_F) = 15.00 states/eV per cell
1.0
6.302 0.001 0.006
-3.149 5.459 0.006
-1.062 -1.839 11.707
Pr Nd Y Th
3 2 6 1
Direct
0.167 0.833 0.500 Pr
0.833 0.167 0.500 Pr
0.500 0.500 0.500 Pr
0.333 0.667 0.000 Nd
0.667 0.333 0.000 Nd
0.918 0.588 0.753 Y
0.753 0.753 0.247 Y
0.082 0.412 0.247 Y
0.588 0.918 0.753 Y
0.247 0.247 0.753 Y
0.412 0.082 0.247 Y
0.000 0.000 0.000 Th

---

Record 2
Pr2NdYTh | Alexandria via LeMat-Bulk | PBE-GGA | relaxed; formation enthalpy at 0 K = 0.32 eV per atom; D(E_F) = 14.63 states/eV per cell
1.0
-2.858 -5.061 2.723
7.853 -2.130 4.283
-3.609 4.036 3.712
Pr Nd Y Th
4 2 2 2
Direct
0.692 0.685 0.842 Pr
0.692 0.315 0.658 Pr
0.308 0.685 0.342 Pr
0.308 0.315 0.158 Pr
0.170 0.500 0.750 Nd
0.830 0.500 0.250 Nd
0.502 0.000 0.250 Y
0.498 0.000 0.750 Y
0.000 0.000 0.000 Th
0.000 0.000 0.500 Th

---

Record 3
PrNdYTh2 | Alexandria via LeMat-Bulk | PBE-GGA | relaxed; formation enthalpy at 0 K = 0.37 eV per atom; D(E_F) = 15.94 states/eV per cell
1.0
6.750 0.000 0.000
0.000 6.732 0.000
0.000 -3.366 7.948
Pr Nd Y Th
2 2 2 4
Direct
0.750 0.740 0.480 Pr
0.250 0.260 0.520 Pr
0.250 0.849 0.699 Nd
0.750 0.151 0.301 Nd
0.250 0.652 0.303 Y
0.750 0.348 0.697 Y
0.500 0.253 0.000 Th
0.000 0.747 0.000 Th
0.500 0.747 0.000 Th
0.000 0.253 0.000 Th

---

Record 4
PrNdTi | Alexandria via LeMat-Bulk | PBE-GGA | relaxed; formation enthalpy at 0 K = 0.14 eV per atom; D(E_F) = 10.35 states/eV per cell
1.0
3.648 0.000 0.000
0.000 3.648 0.000
0.000 0.000 13.255
Pr Nd Ti
2 2 2
Direct
0.000 0.500 0.599 Pr
0.500 0.000 0.401 Pr
0.500 0.000 0.806 Nd
0.000 0.500 0.194 Nd
0.000 0.500 0.960 Ti
0.500 0.000 0.040 Ti

---

Record 5
Pr3Nd3Tl2 | Alexandria via LeMat-Bulk | PBE-GGA | relaxed; formation enthalpy at 0 K = -0.11 eV per atom; D(E_F) = 19.64 states/eV per cell
1.0
5.448 0.000 0.000
-2.724 6.281 0.000
0.000 0.000 15.849
Pr Nd Tl
6 6 4
Direct
0.960 0.919 0.392 Pr
0.040 0.081 0.892 Pr
0.960 0.919 0.108 Pr
0.040 0.081 0.608 Pr
0.723 0.447 0.250 Pr
0.277 0.553 0.750 Pr
0.635 0.270 0.471 Nd
0.365 0.730 0.971 Nd
0.635 0.270 0.029 Nd
0.365 0.730 0.529 Nd
0.443 0.886 0.250 Nd
0.557 0.114 0.750 Nd
0.782 0.563 0.864 Tl
0.218 0.437 0.364 Tl
0.782 0.563 0.636 Tl
0.218 0.437 0.136 Tl

---

Record 6
Pr6NdTl2 | Alexandria via LeMat-Bulk | PBE-GGA | relaxed; formation enthalpy at 0 K = -0.15 eV per atom; D(E_F) = 11.63 states/eV per cell
1.0
-1.495 3.362 -1.262
-5.494 1.330 4.058
4.162 7.406 8.807
Pr Nd Tl
6 1 2
Direct
0.686 0.503 0.125 Pr
0.314 0.497 0.875 Pr
0.307 0.797 0.588 Pr
0.987 0.683 0.343 Pr
0.013 0.317 0.657 Pr
0.693 0.203 0.412 Pr
0.000 0.000 0.000 Nd
0.361 0.073 0.205 Tl
0.639 0.927 0.795 Tl

---

Record 7
PrNd7Tl4 | Alexandria via LeMat-Bulk | PBE-GGA | relaxed; formation enthalpy at 0 K = -0.08 eV per atom; D(E_F) = 13.42 states/eV per cell
1.0
-4.614 -3.623 -0.906
3.204 -9.010 0.267
-2.730 -3.108 6.890
Pr Nd Tl
1 7 4
Direct
0.000 0.000 0.000 Pr
0.796 0.881 0.527 Nd
0.204 0.119 0.473 Nd
0.061 0.606 0.271 Nd
0.939 0.394 0.729 Nd
0.277 0.660 0.786 Nd
0.500 0.000 0.000 Nd
0.723 0.340 0.214 Nd
0.557 0.252 0.633 Tl
0.443 0.748 0.367 Tl
0.687 0.667 0.958 Tl
0.313 0.333 0.042 Tl

---

Record 8
Pr8NdTl2 | Alexandria via LeMat-Bulk | PBE-GGA | relaxed; formation enthalpy at 0 K = -0.04 eV per atom; D(E_F) = 14.57 states/eV per cell
1.0
5.956 -0.381 -0.572
-1.502 8.894 -0.759
-1.502 -4.127 7.916
Pr Nd Tl
8 1 2
Direct
0.883 0.908 0.680 Pr
0.883 0.680 0.908 Pr
0.296 0.594 0.594 Pr
0.500 0.779 0.221 Pr
0.500 0.221 0.779 Pr
0.704 0.406 0.406 Pr
0.117 0.320 0.092 Pr
0.117 0.092 0.320 Pr
0.500 0.000 0.000 Nd
0.000 0.306 0.694 Tl
0.000 0.694 0.306 Tl

---

Record 9
Pr6NdTl6 | Alexandria via LeMat-Bulk | PBE-GGA | relaxed; formation enthalpy at 0 K = -0.24 eV per atom; D(E_F) = 15.18 states/eV per cell
1.0
6.556 0.000 0.000
-3.278 5.678 0.000
0.000 0.000 11.133
Pr Nd Tl
6 1 6
Direct
0.000 0.000 0.666 Pr
0.000 0.000 0.334 Pr
0.333 0.667 0.000 Pr
0.667 0.333 0.000 Pr
0.333 0.667 0.500 Pr
0.667 0.333 0.500 Pr
0.000 0.000 0.000 Nd
0.000 0.500 0.754 Tl
0.500 0.000 0.754 Tl
0.500 0.500 0.754 Tl
0.500 0.000 0.246 Tl
0.000 0.500 0.246 Tl
0.500 0.500 0.246 Tl

---

Record 10
Pr4NdTl2 | Alexandria via LeMat-Bulk | PBE-GGA | relaxed; formation enthalpy at 0 K = 0.06 eV per atom; D(E_F) = 13.33 states/eV per cell
1.0
-1.260 5.161 0.344
-1.799 2.000 4.594
8.958 4.627 4.577
Pr Nd Tl
4 1 2
Direct
0.705 0.705 0.886 Pr
0.888 0.888 0.335 Pr
0.295 0.295 0.114 Pr
0.112 0.112 0.665 Pr
0.500 0.500 0.500 Nd
0.600 0.600 0.200 Tl
0.400 0.400 0.800 Tl

---

Record 11
PrNd4Tl | Alexandria via LeMat-Bulk | PBE-GGA | relaxed; formation enthalpy at 0 K = -0.06 eV per atom; D(E_F) = 14.04 states/eV per cell
1.0
6.649 0.679 0.002
-2.582 8.622 -0.001
0.002 0.000 6.871
Pr Nd Tl
2 8 2
Direct
0.807 0.504 0.750 Pr
0.193 0.496 0.250 Pr
0.325 0.564 0.750 Nd
0.675 0.436 0.250 Nd
0.420 0.168 0.750 Nd
0.580 0.832 0.250 Nd
0.082 0.827 0.002 Nd
0.919 0.173 0.502 Nd
0.081 0.827 0.498 Nd
0.918 0.173 0.998 Nd
0.650 0.871 0.750 Tl
0.350 0.129 0.250 Tl

---

Record 12
Pr3Nd12Tl | Alexandria via LeMat-Bulk | PBE-GGA | relaxed; formation enthalpy at 0 K = -0.03 eV per atom; D(E_F) = 22.56 states/eV per cell
1.0
-1.301 4.337 2.416
-4.461 -2.116 1.397
8.879 -7.123 17.566
Pr Nd Tl
3 12 1
Direct
0.000 0.000 0.247 Pr
0.000 0.000 0.500 Pr
0.000 0.000 0.753 Pr
0.500 0.500 0.000 Nd
0.500 0.500 0.245 Nd
0.500 0.500 0.500 Nd
0.500 0.500 0.755 Nd
0.500 0.000 0.120 Nd
0.500 0.000 0.373 Nd
0.500 0.000 0.627 Nd
0.500 0.000 0.880 Nd
0.000 0.500 0.120 Nd
0.000 0.500 0.373 Nd
0.000 0.500 0.627 Nd
0.000 0.500 0.880 Nd
0.000 0.000 0.000 Tl

---

Record 13
Pr9Nd2Tl | Alexandria via LeMat-Bulk | PBE-GGA | relaxed; formation enthalpy at 0 K = -0.05 eV per atom; D(E_F) = 15.88 states/eV per cell
1.0
-2.908 3.795 1.861
-2.819 -3.424 2.578
9.692 1.350 12.391
Pr Nd Tl
9 2 1
Direct
0.500 0.500 0.000 Pr
0.500 0.500 0.330 Pr
0.500 0.500 0.670 Pr
0.500 0.000 0.161 Pr
0.500 0.000 0.500 Pr
0.500 0.000 0.839 Pr
0.000 0.500 0.161 Pr
0.000 0.500 0.500 Pr
0.000 0.500 0.839 Pr
0.000 0.000 0.330 Nd
0.000 0.000 0.670 Nd
0.000 0.000 0.000 Tl

---

Record 14
PrNd3Tl4 | Alexandria via LeMat-Bulk | PBE-GGA | relaxed; formation enthalpy at 0 K = -0.25 eV per atom; D(E_F) = 7.70 states/eV per cell
1.0
3.716 0.000 0.000
0.000 7.378 -0.836
-1.858 -2.630 9.750
Pr Nd Tl
1 3 4
Direct
0.500 0.000 0.000 Pr
0.000 0.500 0.000 Nd
0.215 0.215 0.430 Nd
0.785 0.785 0.570 Nd
0.372 0.581 0.744 Tl
0.628 0.419 0.256 Tl
0.628 0.837 0.256 Tl
0.372 0.163 0.744 Tl

---

Record 15
PrNd2Tl4 | Alexandria via LeMat-Bulk | PBE-GGA | relaxed; formation enthalpy at 0 K = -0.24 eV per atom; D(E_F) = 7.24 states/eV per cell
1.0
6.324 0.036 -2.203
-3.142 5.453 -2.290
0.021 -0.036 6.697
Pr Nd Tl
1 2 4
Direct
0.000 0.000 0.000 Pr
0.500 0.500 0.000 Nd
0.500 0.000 0.500 Nd
0.500 0.000 0.000 Tl
0.500 0.500 0.500 Tl
0.000 0.000 0.500 Tl
0.000 0.500 0.000 Tl

---

Record 16
Pr5NdTl6 | Alexandria via LeMat-Bulk | PBE-GGA | relaxed; formation enthalpy at 0 K = -0.39 eV per atom; D(E_F) = 10.26 states/eV per cell
1.0
-4.291 2.139 2.840
-4.036 0.724 -6.644
-5.273 -6.616 2.483
Pr Tl Nd
5 6 1
Direct
0.667 0.500 0.666 Pr
0.333 0.000 0.333 Pr
0.000 0.500 0.000 Pr
0.667 0.000 0.667 Pr
0.333 0.500 0.334 Pr
0.834 0.751 0.332 Tl
0.834 0.249 0.332 Tl
0.500 0.249 0.000 Tl
0.500 0.751 0.000 Tl
0.166 0.751 0.668 Tl
0.166 0.249 0.668 Tl
0.000 0.000 0.000 Nd

---

Record 17
Pr5Nd3Tl12 | Alexandria via LeMat-Bulk | PBE-GGA | relaxed; formation enthalpy at 0 K = 0.13 eV per atom; D(E_F) = 70.66 states/eV per cell
1.0
-7.202 10.277 -9.773
-10.906 -9.339 6.845
7.915 8.018 11.228
Nd Pr Tl
12 20 48
Direct
0.750 0.375 0.125 Nd
0.875 0.750 0.125 Nd
0.375 0.750 0.625 Nd
0.250 0.125 0.375 Nd
0.875 0.125 0.250 Nd
0.375 0.625 0.250 Nd
0.625 0.375 0.750 Nd
0.125 0.875 0.750 Nd
0.750 0.875 0.625 Nd
0.625 0.250 0.375 Nd
0.125 0.250 0.875 Nd
0.250 0.625 0.875 Nd
0.125 0.375 0.250 Pr
0.000 0.500 0.000 Pr
0.000 0.000 0.000 Pr
0.375 0.250 0.125 Pr
0.500 0.000 0.500 Pr
0.500 0.500 0.000 Pr
0.125 0.750 0.375 Pr
0.750 0.125 0.875 Pr
0.750 0.625 0.375 Pr
0.375 0.125 0.750 Pr
0.625 0.875 0.250 Pr
0.500 0.500 0.500 Pr
0.500 0.000 0.000 Pr
0.000 0.000 0.500 Pr
0.250 0.375 0.625 Pr
0.250 0.875 0.125 Pr
0.000 0.500 0.500 Pr
0.875 0.250 0.625 Pr
0.625 0.750 0.875 Pr
0.875 0.625 0.750 Pr
0.729 0.147 0.072 Tl
0.344 0.572 0.425 Tl
0.928 0.353 0.271 Tl
0.572 0.229 0.147 Tl
0.581 0.729 0.656 Tl
0.928 0.575 0.156 Tl
0.344 0.771 0.419 Tl
0.075 0.919 0.147 Tl
0.575 0.928 0.656 Tl
0.729 0.581 0.156 Tl
0.771 0.428 0.353 Tl
0.844 0.925 0.072 Tl
0.147 0.729 0.572 Tl
0.353 0.425 0.081 Tl
0.081 0.925 0.353 Tl
0.419 0.147 0.575 Tl
0.081 0.156 0.229 Tl
0.428 0.656 0.075 Tl
0.844 0.919 0.271 Tl
0.147 0.419 0.075 Tl
0.353 0.928 0.771 Tl
0.575 0.647 0.419 Tl
0.925 0.844 0.572 Tl
0.771 0.344 0.919 Tl
0.425 0.353 0.581 Tl
0.075 0.156 0.428 Tl
0.229 0.656 0.081 Tl
0.156 0.081 0.729 Tl
0.647 0.072 0.229 Tl
0.853 0.581 0.925 Tl
0.572 0.344 0.925 Tl
0.581 0.853 0.425 Tl
0.919 0.844 0.771 Tl
0.919 0.075 0.647 Tl
0.853 0.271 0.428 Tl
0.156 0.075 0.928 Tl
0.647 0.575 0.919 Tl
0.425 0.072 0.344 Tl
0.271 0.419 0.844 Tl
0.229 0.572 0.647 Tl
0.925 0.081 0.853 Tl
0.656 0.229 0.581 Tl
0.428 0.771 0.853 Tl
0.072 0.425 0.844 Tl
0.419 0.271 0.344 Tl
0.072 0.647 0.729 Tl
0.656 0.428 0.575 Tl
0.271 0.853 0.928 Tl

---

Record 18
Pr3Nd6Tl2 | Alexandria via LeMat-Bulk | PBE-GGA | relaxed; formation enthalpy at 0 K = 0.11 eV per atom; D(E_F) = 18.74 states/eV per cell
1.0
4.693 0.000 0.000
0.000 4.693 0.000
-2.346 -2.346 17.993
Pr Nd Tl
3 6 2
Direct
0.000 0.000 0.000 Pr
0.832 0.832 0.664 Pr
0.168 0.168 0.336 Pr
0.081 0.581 0.161 Nd
0.581 0.081 0.161 Nd
0.919 0.419 0.839 Nd
0.419 0.919 0.839 Nd
0.729 0.729 0.458 Nd
0.271 0.271 0.542 Nd
0.357 0.357 0.715 Tl
0.643 0.643 0.285 Tl

---

Record 19
Pr2Nd2Tl3 | Alexandria via LeMat-Bulk | PBE-GGA | relaxed; formation enthalpy at 0 K = -0.28 eV per atom; D(E_F) = 7.71 states/eV per cell
1.0
4.511 0.494 0.846
-0.879 7.813 0.156
1.268 -0.572 6.215
Pr Nd Tl
2 2 3
Direct
0.572 0.291 0.856 Pr
0.428 0.709 0.144 Pr
0.699 0.845 0.603 Nd
0.301 0.155 0.397 Nd
0.000 0.000 0.000 Tl
0.854 0.437 0.292 Tl
0.146 0.563 0.708 Tl